# 1
DFT (PBE) results for MgSc2AgO after structural relaxation.

Output
Energy relative to the elements, uncorrected in eV/atom: -1.215
Mass density in g/cm³: 4.663
Total magnetic moment in μB per atom: 0.00
Space group: No. 123
Energy in Ha/atom: -0.2068
DOS at the Fermi energy in states/eV/f.u.: 3.818

Unit cell a=4.345 b=4.345 c=4.490 alpha=90.00 beta=90.00 gamma=90.00
Fractional positions:
O 0.000 0.000 0.000
Ag 0.500 0.500 0.500
Sc 0.000 0.500 0.000
Sc 0.500 0.000 0.000
Mg 0.000 0.000 0.500

# 2
DFT (PBE) results for Mg2Ag2SeO6 after structural relaxation.

Output
Energy relative to the elements, uncorrected in eV/atom: -1.259
Mass density in g/cm³: 4.925
Total magnetic moment in μB per atom: 0.00
Space group: No. 12
Energy in Ha/atom: -0.1870

Unit cell a=5.254 b=5.254 c=6.260 alpha=86.97 beta=86.97 gamma=120.45
Fractional positions:
Ag 0.841 0.159 0.000
Ag 0.159 0.841 0.000
O 0.309 0.309 0.344
O 0.278 0.975 0.664
O 0.722 0.025 0.336
O 0.691 0.691 0.656
O 0.025 0.722 0.336
O 0.975 0.278 0.664
Mg 0.336 0.664 0.500
Mg 0.664 0.336 0.500
Se 0.000 0.000 0.500

# 3
DFT (PBE) results for Sr2MgAgO4 after structural relaxation.

Output
Energy relative to the elements, uncorrected in eV/atom: -1.877
Mass density in g/cm³: 4.917
Total magnetic moment in μB per atom: 0.13
Space group: No. 82
Energy in Ha/atom: -0.1960
DOS at the Fermi energy in states/eV/f.u.: 0.572

Unit cell a=5.490 b=5.490 c=5.490 alpha=101.18 beta=113.77 gamma=113.77
Last column: magnetic moment on the atom in μB.
Fractional positions:
O 0.081 0.188 0.664  0.14
O 0.919 0.583 0.107  0.14
O 0.476 0.893 0.812  0.14
O 0.524 0.336 0.417  0.14
Sr 0.000 0.000 0.000  0.01
Sr 0.500 0.750 0.250  0.00
Ag 0.000 0.500 0.500  0.35
Mg 0.500 0.250 0.750  0.00

# 4
DFT (PBE) results for Sr2MgAgO5 after structural relaxation.

Output
Energy relative to the elements, uncorrected in eV/atom: -1.703
Mass density in g/cm³: 5.098
Total magnetic moment in μB per atom: 0.10
Space group: No. 36
Energy in Ha/atom: -0.1957
DOS at the Fermi energy in states/eV/f.u.: 4.028

Unit cell a=3.403 b=6.922 c=11.053 alpha=90.00 beta=90.00 gamma=104.23
Last column: magnetic moment on the atom in μB.
Fractional positions:
O 0.487 0.975 0.773  0.03
O 0.623 0.245 0.494  0.01
O 0.321 0.643 0.397  0.04
O 0.726 0.452 0.148  0.26
O 0.377 0.755 0.994  0.01
O 0.069 0.139 0.070  0.35
O 0.274 0.548 0.648  0.26
O 0.931 0.861 0.570  0.35
O 0.513 0.025 0.273  0.03
O 0.679 0.357 0.897  0.04
Mg 0.784 0.568 0.520  0.00
Mg 0.216 0.432 0.020  0.00
Sr 0.903 0.805 0.175  0.01
Sr 0.150 0.301 0.297  0.00
Sr 0.850 0.699 0.797  0.00
Sr 0.097 0.195 0.675  0.01
Ag 0.470 0.939 0.450  0.11
Ag 0.530 0.061 0.950  0.11

# 5
DFT (PBE) results for SrMgAg2O after structural relaxation.

Output
Energy relative to the elements, uncorrected in eV/atom: -0.519
Mass density in g/cm³: 4.955
Total magnetic moment in μB per atom: 0.00
Space group: No. 123
Energy in Ha/atom: -0.1215
DOS at the Fermi energy in states/eV/f.u.: 0.627

Unit cell a=5.444 b=3.886 c=5.444 alpha=90.00 beta=90.00 gamma=90.00
Fractional positions:
Sr 0.500 0.500 0.500
Ag 0.500 0.000 0.000
Ag 0.000 0.000 0.500
O 0.000 0.500 0.000
Mg 0.000 0.000 0.000

# 6
DFT (PBE) results for Sr2MgAgO after structural relaxation.

Output
Energy relative to the elements, uncorrected in eV/atom: -1.048
Mass density in g/cm³: 4.455
Total magnetic moment in μB per atom: 0.00
Space group: No. 123
Energy in Ha/atom: -0.1324
DOS at the Fermi energy in states/eV/f.u.: 3.519

Unit cell a=5.310 b=5.310 c=4.276 alpha=90.00 beta=90.00 gamma=90.00
Fractional positions:
Sr 0.000 0.500 0.000
Sr 0.500 0.000 0.000
Mg 0.000 0.000 0.500
O 0.000 0.000 0.000
Ag 0.500 0.500 0.500

# 7
DFT (PBE) results for Mg2TaAgO after structural relaxation.

Output
Energy relative to the elements, uncorrected in eV/atom: -0.071
Mass density in g/cm³: 6.782
Total magnetic moment in μB per atom: 0.53
Space group: No. 123
Energy in Ha/atom: -0.1706
DOS at the Fermi energy in states/eV/f.u.: 3.799

Unit cell a=4.037 b=5.309 c=4.037 alpha=90.00 beta=90.00 gamma=90.00
Last column: magnetic moment on the atom in μB.
Fractional positions:
Ag 0.000 0.500 0.000  0.19
O 0.000 0.000 0.000  0.18
Mg 0.000 0.000 0.500  0.01
Mg 0.500 0.000 0.000  0.00
Ta 0.500 0.500 0.500  1.35

# 8
DFT (PBE) results for MgTa2AgO after structural relaxation.

Output
Energy relative to the elements, uncorrected in eV/atom: -0.420
Mass density in g/cm³: 10.671
Total magnetic moment in μB per atom: 0.00
Space group: No. 123
Energy in Ha/atom: -0.2588
DOS at the Fermi energy in states/eV/f.u.: 4.848

Unit cell a=4.162 b=4.581 c=4.162 alpha=90.00 beta=90.00 gamma=90.00
Fractional positions:
Mg 0.000 0.500 0.000
Ta 0.000 0.000 0.500
Ta 0.500 0.000 0.000
O 0.000 0.000 0.000
Ag 0.500 0.500 0.500

# 9
DFT (PBE) results for Mg2TaAgO6 after structural relaxation.

Output
Energy relative to the elements, uncorrected in eV/atom: -2.000
Mass density in g/cm³: 6.160
Total magnetic moment in μB per atom: 0.00
Space group: No. 11
Energy in Ha/atom: -0.2486

Unit cell a=7.385 b=5.654 c=5.754 alpha=76.61 beta=90.00 gamma=90.00
Fractional positions:
Ag 0.500 0.500 0.000
Ag 0.000 0.500 0.000
O 0.928 0.720 0.379
O 0.750 0.146 0.437
O 0.428 0.280 0.621
O 0.250 0.854 0.563
O 0.942 0.851 0.847
O 0.572 0.720 0.379
O 0.058 0.149 0.153
O 0.250 0.634 0.093
O 0.442 0.149 0.153
O 0.072 0.280 0.621
O 0.558 0.851 0.847
O 0.750 0.366 0.907
Ta 0.000 0.000 0.500
Ta 0.500 0.000 0.500
Mg 0.250 0.533 0.457
Mg 0.750 0.971 0.067
Mg 0.750 0.467 0.543
Mg 0.250 0.029 0.933

# 10
DFT (PBE) results for MgTc2AgO8 after structural relaxation.

Output
Energy relative to the elements, uncorrected in eV/atom: -1.417
Mass density in g/cm³: 4.007
Total magnetic moment in μB per atom: 0.05
Space group: No. 147
Energy in Ha/atom: -0.2507
DOS at the Fermi energy in states/eV/f.u.: 5.329

Unit cell a=5.815 b=5.815 c=6.454 alpha=90.00 beta=90.00 gamma=120.00
Last column: magnetic moment on the atom in μB.
Fractional positions:
O 0.330 0.166 0.303  0.01
O 0.166 0.836 0.697  0.01
O 0.333 0.667 0.046  0.03
O 0.164 0.330 0.697  0.01
O 0.836 0.670 0.303  0.01
O 0.834 0.164 0.303  0.01
O 0.667 0.333 0.954  0.03
O 0.670 0.834 0.697  0.01
Tc 0.667 0.333 0.223  0.21
Tc 0.333 0.667 0.777  0.21
Ag 0.000 0.000 0.000  0.02
Mg 0.000 0.000 0.500  0.00